Here is an optimized crystal structure of YRuPb2 from Alexandria via LeMat-Bulk. Energies are from PBE-GGA.

Electronic total energy, eV/atom: -5.55
Symmetry: I-42d, No. 122
Fermi-level density of states, states/eV/f.u.: 3.3
Crystal system: tetragonal

a b c (Å): 11.1222 11.1222 11.1222
angles (deg): 157.37 157.37 32.21
Sites, in units of the cell vectors:
Y (0.0000, 0.0000, 0.0000)
Y (0.7500, 0.2500, 0.5000)
Ru (0.2500, 0.7500, 0.5000)
Ru (0.5000, 0.5000, 0.0000)
Pb (0.1396, 0.6250, 0.0146)
Pb (0.3750, 0.3896, 0.5146)
Pb (0.6104, 0.1250, 0.9854)
Pb (0.8750, 0.8604, 0.4854)